[1]
Below is Pa5C2Se5 after structural relaxation, with properties calculated at the PBE-GGA level.

## Properties
**Formation energy from raw total energies**: -97.6 kJ/mol of atoms

The structure in CIF format:
```
data_Pa5C2Se5
_cell_length_a 13.118
_cell_length_b 3.865
_cell_length_c 10.905
_cell_angle_alpha 90.00
_cell_angle_beta 107.47
_cell_angle_gamma 90.00
_symmetry_space_group_name_H-M 'C 1 2/m 1'
_symmetry_Int_Tables_number 12
_symmetry_space_group_name_Hall '-C 2y'
loop_
_atom_site_label
_atom_site_type_symbol
_atom_site_fract_x
_atom_site_fract_y
_atom_site_fract_z
_atom_site_occupancy
Pa1 Pa 0.000 0.000 0.000 1
Pa2 Pa 0.101 0.000 0.381 1
Pa3 Pa 0.149 0.500 0.787 1
C1 C 0.043 0.000 0.803 1
Se1 Se 0.000 0.500 0.500 1
Se2 Se 0.169 0.500 0.060 1
Se3 Se 0.245 0.000 0.645 1
```

[2]
Below is Pa2CSe2 after structural relaxation, with properties calculated at the PBE-GGA level.

## Properties
**Polymorph energy (0 for the lowest one)**: 0.0407 eV/atom
**Formation energy from raw total energies**: -94.1 kJ/mol of atoms

The structure in CIF format:
```
data_Pa2CSe2
_cell_length_a 3.951
_cell_length_b 15.237
_cell_length_c 7.390
_cell_angle_alpha 90.00
_cell_angle_beta 90.00
_cell_angle_gamma 90.00
_symmetry_space_group_name_H-M 'C m c 21'
_symmetry_Int_Tables_number 36
_symmetry_space_group_name_Hall 'C 2c -2'
loop_
_atom_site_label
_atom_site_type_symbol
_atom_site_fract_x
_atom_site_fract_y
_atom_site_fract_z
_atom_site_occupancy
Pa1 Pa 0.000 0.048 0.000 1
Pa2 Pa 0.000 0.341 0.876 1
C1 C 0.000 0.089 0.322 1
Se1 Se 0.000 0.291 0.503 1
Se2 Se 0.000 0.444 0.193 1
```

[3]
Below is Pa4C2Se5 after structural relaxation, with properties calculated at the PBE-GGA level.

## Properties
**Formation energy from raw total energies**: -108.9 kJ/mol of atoms

The structure in CIF format:
```
data_Pa4C2Se5
_cell_length_a 18.223
_cell_length_b 3.898
_cell_length_c 7.656
_cell_angle_alpha 90.00
_cell_angle_beta 104.39
_cell_angle_gamma 90.00
_symmetry_space_group_name_H-M 'C 1 2/m 1'
_symmetry_Int_Tables_number 12
_symmetry_space_group_name_Hall '-C 2y'
loop_
_atom_site_label
_atom_site_type_symbol
_atom_site_fract_x
_atom_site_fract_y
_atom_site_fract_z
_atom_site_occupancy
Pa1 Pa 0.002 0.000 0.287 1
Pa2 Pa 0.168 0.500 0.608 1
C1 C 0.040 0.500 0.526 1
Se1 Se 0.000 0.500 0.000 1
Se2 Se 0.160 0.000 0.866 1
Se3 Se 0.167 0.000 0.329 1
```

[4]
Below is Pa3CSe2 after structural relaxation, with properties calculated at the PBE-GGA level.

## Properties
**Polymorph energy (0 for the lowest one)**: 0.0000 eV/atom
**Formation energy from raw total energies**: -91.8 kJ/mol of atoms

The structure in CIF format:
```
data_Pa3CSe2
_cell_length_a 3.679
_cell_length_b 5.583
_cell_length_c 12.428
_cell_angle_alpha 90.00
_cell_angle_beta 90.00
_cell_angle_gamma 90.00
_symmetry_space_group_name_H-M 'I m m m'
_symmetry_Int_Tables_number 71
_symmetry_space_group_name_Hall '-I 2 2'
loop_
_atom_site_label
_atom_site_type_symbol
_atom_site_fract_x
_atom_site_fract_y
_atom_site_fract_z
_atom_site_occupancy
Pa1 Pa 0.000 0.000 0.000 1
Pa2 Pa 0.000 0.000 0.366 1
C1 C 0.000 0.500 0.000 1
Se1 Se 0.000 0.500 0.321 1
```